1.
Compound: TmHfHgC
Source: OQMD
Functional: PBE-GGA
Structure: optimized geometry

```
data_TmHfHgC
_chemical_formula_sum 'Tm2 Hf2 Hg2 C2'
_symmetry_space_group_name_H-M 'P 1'
_symmetry_Int_Tables_number 1
_cell_length_a 3.405
_cell_length_b 3.405
_cell_length_c 15.151
_cell_angle_alpha 90.00
_cell_angle_beta 90.00
_cell_angle_gamma 120.00
loop_
_symmetry_equiv_pos_as_xyz
'x,y,z'
loop_
_atom_site_label
_atom_site_type_symbol
_atom_site_fract_x
_atom_site_fract_y
_atom_site_fract_z
Tm1 Tm 0.333 0.667 0.000
Tm2 Tm 0.667 0.333 0.500
Hf1 Hf 0.333 0.667 0.672
Hf2 Hf 0.667 0.333 0.172
Hg1 Hg 0.333 0.667 0.332
Hg2 Hg 0.667 0.333 0.832
C1 C 0.000 0.000 0.099
C2 C 0.000 0.000 0.599
```

Properties
Excess energy over the best structure of this formula in the dataset, kJ/mol of formula units: 2
Mass density, Mg/m³: 12.2



2.
Compound: Mg2IrPd
Source: OQMD
Functional: PBE-GGA
Structure: optimized geometry

```
data_Mg2IrPd
_chemical_formula_sum 'Mg2 Ir1 Pd1'
_symmetry_space_group_name_H-M 'P 1'
_symmetry_Int_Tables_number 1
_cell_length_a 4.493
_cell_length_b 4.493
_cell_length_c 4.493
_cell_angle_alpha 60.00
_cell_angle_beta 60.00
_cell_angle_gamma 60.00
loop_
_symmetry_equiv_pos_as_xyz
'x,y,z'
loop_
_atom_site_label
_atom_site_type_symbol
_atom_site_fract_x
_atom_site_fract_y
_atom_site_fract_z
Mg1 Mg 0.000 0.000 0.000
Mg2 Mg 0.250 0.250 0.250
Ir1 Ir 0.750 0.750 0.750
Pd1 Pd 0.500 0.500 0.500
```

Properties
Final energy, hartree per atom: -0.167
Mass density, Mg/m³: 9.0



3.
Compound: La2SnPd
Source: OQMD
Functional: PBE-GGA
Structure: optimized geometry

```
data_La2SnPd
_chemical_formula_sum 'La2 Sn1 Pd1'
_symmetry_space_group_name_H-M 'P 1'
_symmetry_Int_Tables_number 1
_cell_length_a 5.225
_cell_length_b 5.225
_cell_length_c 5.225
_cell_angle_alpha 60.00
_cell_angle_beta 60.00
_cell_angle_gamma 60.00
loop_
_symmetry_equiv_pos_as_xyz
'x,y,z'
loop_
_atom_site_label
_atom_site_type_symbol
_atom_site_fract_x
_atom_site_fract_y
_atom_site_fract_z
La1 La 0.000 0.000 0.000
La2 La 0.250 0.250 0.250
Sn1 Sn 0.750 0.750 0.750
Pd1 Pd 0.500 0.500 0.500
```

Properties
Final energy, hartree per atom: -0.190
Mass density, Mg/m³: 8.3